No. 1
Here is an optimized crystal structure of SrPtPb from the Alexandria database. Energies are from PBE.

Results
- Space-group type: I4mm (107)
- Energy of formation: -0.45 eV per atom

Lattice parameters (Å, degrees): 6.3297 6.3300 3.7236 72.89 72.90 34.21
Atoms (fractional coordinates):
Sr 0.6796 0.6796 0.3204
Pb 0.9651 0.9651 0.0349
Pt 0.3553 0.3553 0.6447

No. 2
Here is an optimized crystal structure of Tb6Ho3ZrSc2 from the Alexandria database. Energies are from PBE.

Results
- Space-group type: C2/m (12)
- Energy of formation: 0.06 eV per atom

Lattice parameters (Å, degrees): 6.0081 6.0081 11.4552 95.00 95.00 119.92
Atoms (fractional coordinates):
Ho 0.8334 0.1666 0.5000
Zr 0.0000 0.0000 0.0000
Tb 0.0801 0.4102 0.2397
Tb 0.9199 0.5898 0.7603
Tb 0.4102 0.0801 0.2397
Tb 0.5898 0.9199 0.7603
Ho 0.5000 0.5000 0.5000
Sc 0.6669 0.3331 0.0000
Ho 0.1666 0.8334 0.5000
Tb 0.7502 0.7502 0.2390
Tb 0.2498 0.2498 0.7610
Sc 0.3331 0.6669 0.0000

No. 3
Here is an optimized crystal structure of CdB2N from the Alexandria database. Energies are from PBE.

Results
- Space-group type: Fm-3m (225)
- Energy relative to the lowest polymorph listed for this composition: 1849 meV/atom

Lattice parameters (Å, degrees): 4.0526 4.0526 4.0526 60.00 60.00 60.00
Atoms (fractional coordinates):
B 0.2500 0.2500 0.2500
Cd 0.5000 0.5000 0.5000
N 0.0000 0.0000 0.0000
B 0.7500 0.7500 0.7500

No. 4
Here is an optimized crystal structure of K2ZnRe from the Alexandria database. Energies are from PBE.

Results
- Space-group type: Immm (71)
- Energy of formation: 0.87 eV per atom

Lattice parameters (Å, degrees): 9.8799 9.8799 9.8799 163.27 154.51 30.65
Last column: magnetic moment on the atom in μB.
Atoms (fractional coordinates):
Re 0.7500 0.2500 0.5000  0.94
Zn 0.2500 0.7500 0.5000  0.00
K 0.3995 0.3995 0.0000  0.00
K 0.1005 0.1005 0.0000  0.00

No. 5
Here is an optimized crystal structure of LaSiRuN from the Alexandria database. Energies are from PBE.

Results
- Space-group type: P4/nmm (129)

Lattice parameters (Å, degrees): 4.0544 4.0544 8.1835 90.00 90.00 90.00
Atoms (fractional coordinates):
Ru 0.0000 0.0000 0.5000
La 0.5000 0.0000 0.1608
Si 0.5000 0.0000 0.6500
Ru 0.5000 0.5000 0.5000
La 0.0000 0.5000 0.8392
Si 0.0000 0.5000 0.3500
N 0.5000 0.0000 0.8675
N 0.0000 0.5000 0.1325

No. 6
Here is an optimized crystal structure of PaTaTlO6 from the Alexandria database. Energies are from PBE.

Results
- Space-group type: Imma (74)

Lattice parameters (Å, degrees): 7.9667 7.6408 7.7928 119.36 120.74 90.00
Last column: magnetic moment on the atom in μB.
Atoms (fractional coordinates):
Pa 0.0000 0.0000 0.5000  0.02
O 0.4437 0.6724 0.2448  0.11
Ta 0.5000 0.5000 0.0000  -0.03
Tl 0.0861 0.3361 0.1721  0.00
O 0.1989 0.3276 0.7552  0.11
O 0.4437 0.0724 0.2448  0.11
O 0.1672 0.9172 0.3344  0.10
O 0.8011 0.0724 0.2448  0.11
O 0.5563 0.3276 0.7552  0.11
O 0.1989 0.9276 0.7552  0.11
Tl 0.9139 0.6639 0.8279  0.00
O 0.4534 0.7034 0.9068  0.13
O 0.8328 0.0828 0.6656  0.10
Pa 0.5000 0.0000 0.5000  0.02
Ta 0.5000 0.0000 0.0000  -0.03
O 0.5563 0.9276 0.7552  0.11
O 0.8011 0.6724 0.2448  0.11
O 0.5466 0.2966 0.0932  0.13

Calculated values (eV/atom) of E for the records, taken in order: -4.26 -5.17 -3.13 -3.11 -8.09 -8.47.